Below is a geometry-optimized CaZnBr3 structure, with properties calculated at the GGA-PBE level.

Output
As for the magnetic moment: 0.8 μB per cell. For the theoretical density, the calculation gives 3.2 g/cm³. For the uncorrected formation energy, the calculation gives -0.95 eV per atom.

Lattice parameters (Å, degrees): 5.6558 5.6558 5.6558 90.00 90.00 90.00
Fractional coordinates of all 5 atoms:
Ca: 0.0000 0.0000 0.0000
Zn: 0.5000 0.5000 0.5000
Br: 0.0000 0.5000 0.0000
Br: 0.0000 0.0000 0.5000
Br: 0.5000 0.0000 0.0000